Record 1
The following is a DFT calculation (PBE-GGA) of a relaxed La2PrSm6Dy3 crystal.

abc: 6.302 6.302 12.060
angles: 95.01 95.01 120.03
Fractional positions:
1 La 0.166 0.834 0.000
2 La 0.834 0.166 0.000
3 Pr 0.500 0.500 0.000
4 Sm 0.081 0.414 0.744
5 Sm 0.253 0.253 0.256
6 Sm 0.414 0.081 0.744
7 Sm 0.586 0.919 0.256
8 Sm 0.747 0.747 0.744
9 Sm 0.919 0.586 0.256
10 Dy 0.000 0.000 0.500
11 Dy 0.333 0.667 0.500
12 Dy 0.667 0.333 0.500

Summary:
* volume: 34.03 Å³/atom
* symmetry: C2/m, No. 12
* energy relative to the elements: 0.0201 eV/atom



Record 2
The following is a DFT calculation (PBE-GGA) of a relaxed EuCuTe2 crystal.

abc: 9.708 9.708 9.708
angles: 22.93 22.93 22.93
Fractional positions:
1 Eu 0.000 0.000 0.000
2 Cu 0.500 0.500 0.500
3 Te 0.112 0.112 0.112
4 Te 0.888 0.888 0.888

Summary:
* volume: 30.46 Å³/atom
* symmetry: R-3m, No. 166
* E_form (uncorrected): -132 meV/atom



Record 3
The following is a DFT calculation (PBE-GGA) of a relaxed BaTaPb2 crystal.

abc: 3.544 4.451 8.363
angles: 90.00 90.00 90.00
Fractional positions:
1 Ba 0.000 0.000 0.000
2 Ta 0.000 0.500 0.462
3 Pb 0.500 0.000 0.383
4 Pb 0.500 0.500 0.742

Summary:
* volume: 32.98 Å³/atom
* symmetry: Pmm2, No. 25
* energy relative to the elements: 0.3981 eV/atom



Record 4
The following is a DFT calculation (PBE-GGA) of a relaxed LiCaTl2 crystal.

abc: 6.896 6.896 6.896
angles: 149.06 133.46 56.94
Fractional positions:
1 Li 0.000 0.000 0.000
2 Ca 0.500 0.500 0.000
3 Tl 0.220 0.220 0.000
4 Tl 0.780 0.780 0.000

Summary:
* volume: 30.38 Å³/atom
* symmetry: Immm, No. 71
* energy relative to the elements: 0.0366 eV/atom



Record 5
The following is a DFT calculation (PBE-GGA) of a relaxed Tl2Rh2Pb crystal.

abc: 6.565 6.565 6.565
angles: 139.33 139.33 58.88
Fractional positions:
1 Tl 0.127 0.127 0.000
2 Tl 0.873 0.873 0.000
3 Rh 0.250 0.750 0.500
4 Rh 0.750 0.250 0.500
5 Pb 0.500 0.500 0.000

Summary:
* volume: 23.81 Å³/atom
* symmetry: I4/mmm, No. 139
* energy relative to the elements: 0.3414 eV/atom



Record 6
The following is a DFT calculation (PBE-GGA) of a relaxed Rb2PSe3 crystal.

abc: 7.895 7.895 16.632
angles: 90.00 90.00 122.97
Fractional positions:
1 Rb 0.067 0.933 0.840
2 Rb 0.145 0.855 0.425
3 Rb 0.355 0.645 0.925
4 Rb 0.433 0.567 0.340
5 Rb 0.567 0.433 0.660
6 Rb 0.645 0.355 0.075
7 Rb 0.855 0.145 0.575
8 Rb 0.933 0.067 0.160
9 P 0.247 0.753 0.163
10 P 0.253 0.747 0.663
11 P 0.747 0.253 0.337
12 P 0.753 0.247 0.837
13 Se 0.042 0.458 0.750
14 Se 0.098 0.902 0.632
15 Se 0.154 0.846 0.054
16 Se 0.346 0.654 0.554
17 Se 0.402 0.598 0.132
18 Se 0.458 0.042 0.250
19 Se 0.542 0.958 0.750
20 Se 0.598 0.402 0.868
21 Se 0.654 0.346 0.446
22 Se 0.846 0.154 0.946
23 Se 0.902 0.098 0.368
24 Se 0.958 0.542 0.250

Summary:
* volume: 36.24 Å³/atom
* symmetry: Cmce, No. 64
* E_form (uncorrected): -745 meV/atom



Record 7
The following is a DFT calculation (PBE-GGA) of a relaxed MgAuCl2 crystal.

abc: 3.488 5.448 5.448
angles: 56.89 90.00 90.00
Fractional positions:
1 Mg 0.000 0.000 0.000
2 Au 0.500 0.228 0.228
3 Cl 0.000 0.484 0.484
4 Cl 0.500 0.810 0.810

Summary:
* volume: 21.68 Å³/atom
* symmetry: Amm2, No. 38
* E_form (uncorrected): -776 meV/atom



Record 8
The following is a DFT calculation (PBE-GGA) of a relaxed CoNiC crystal.

abc: 2.943 3.840 3.840
angles: 38.22 90.00 90.00
Fractional positions:
1 Co 0.000 0.000 0.000
2 Ni 0.500 0.729 0.729
3 C 0.500 0.438 0.438

Summary:
* volume: 8.95 Å³/atom
* symmetry: Amm2, No. 38
* energy relative to the elements: 0.2821 eV/atom